# Mg2TaAu PBEsol relaxed
# Formation energy from the elements: 0.08 eV per atom
# V: 145.60 Å³ per cell
data_Mg2TaAu
_chemical_formula_sum 'Mg4 Ta2 Au2'
_symmetry_space_group_name_H-M 'I m m m'
_symmetry_Int_Tables_number 71
_symmetry_space_group_name_Hall '-I 2 2'
_cell_length_a 2.887
_cell_length_b 5.031
_cell_length_c 10.024
_cell_angle_alpha 90.00
_cell_angle_beta 90.00
_cell_angle_gamma 90.00
loop_
_atom_site_label
_atom_site_type_symbol
_atom_site_fract_x
_atom_site_fract_y
_atom_site_fract_z
Mg1 Mg 0.000 0.000 0.231
Ta1 Ta 0.000 0.500 0.000
Au1 Au 0.000 0.500 0.500

# CaMn2Au PBEsol relaxed
# Formation energy from the elements: 0.35 eV per atom
# V: 279.19 Å³ per cell
data_CaMn2Au
_chemical_formula_sum 'Ca4 Mn8 Au4'
_symmetry_space_group_name_H-M 'F m -3 m'
_symmetry_Int_Tables_number 225
_symmetry_space_group_name_Hall '-F 4 2 3'
_cell_length_a 6.536
_cell_length_b 6.536
_cell_length_c 6.536
_cell_angle_alpha 90.00
_cell_angle_beta 90.00
_cell_angle_gamma 90.00
loop_
_atom_site_label
_atom_site_type_symbol
_atom_site_fract_x
_atom_site_fract_y
_atom_site_fract_z
Ca1 Ca 0.000 0.000 0.000
Mn1 Mn 0.250 0.250 0.250
Au1 Au 0.000 0.000 0.500